Record 1
VASP calculation (PBE-GGA) on a relaxed structure of KPtBr.

a b c (Å): 3.836 6.221 8.018
angles (deg): 97.80 90.06 107.92
Atoms (fractional coordinates):
K 0.000 0.000 0.000
K 0.352 0.701 0.566
Pt 0.264 0.526 0.996
Pt 0.688 0.377 0.794
Br 0.085 0.170 0.603
Br 0.799 0.596 0.221

The energy above the most stable polymorph in this dataset comes out at 23 meV per atom. Its space group is No. 1. Its crystal system is triclinic. The formation energy (no corrections) comes out at -0.65 eV/atom.

---

Record 2
VASP calculation (PBE-GGA) on a relaxed structure of PH2Ru.

a b c (Å): 4.026 4.026 4.026
angles (deg): 136.96 116.43 79.86
Atoms (fractional coordinates):
P 0.000 0.000 0.000
H 0.460 0.460 0.000
H 0.577 0.077 0.500
Ru 0.315 0.815 0.500

The energy above the most stable polymorph in this dataset comes out at 117 meV per atom. Its space group is No. 44. Its crystal system is orthorhombic.

---

Record 3
VASP calculation (PBE-GGA) on a relaxed structure of TlZnBi2H.

a b c (Å): 5.960 5.960 3.381
angles (deg): 90.00 90.00 90.00
Atoms (fractional coordinates):
Tl 0.000 0.000 0.000
Zn 0.500 0.500 0.500
Bi 0.000 0.500 0.500
Bi 0.500 0.000 0.500
H 0.500 0.500 0.000

The energy above the most stable polymorph in this dataset comes out at 0 meV per atom. Its space group is No. 123. Its crystal system is tetragonal.

---

Record 4
VASP calculation (PBE-GGA) on a relaxed structure of NbZn16.

a b c (Å): 6.920 6.920 11.634
angles (deg): 90.00 90.00 112.16
Atoms (fractional coordinates):
Nb 0.047 0.953 0.750
Nb 0.953 0.047 0.250
Zn 0.000 0.000 0.000
Zn 0.000 0.000 0.500
Zn 0.018 0.645 0.569
Zn 0.018 0.645 0.931
Zn 0.175 0.825 0.141
Zn 0.175 0.825 0.359
Zn 0.194 0.480 0.250
Zn 0.244 0.351 0.634
Zn 0.244 0.351 0.866
Zn 0.290 0.710 0.750
Zn 0.351 0.244 0.134
Zn 0.351 0.244 0.366
Zn 0.355 0.982 0.569
Zn 0.355 0.982 0.931
Zn 0.380 0.620 0.033
Zn 0.380 0.620 0.467
Zn 0.480 0.194 0.750
Zn 0.520 0.806 0.250
Zn 0.620 0.380 0.533
Zn 0.620 0.380 0.967
Zn 0.645 0.018 0.069
Zn 0.645 0.018 0.431
Zn 0.649 0.756 0.634
Zn 0.649 0.756 0.866
Zn 0.710 0.290 0.250
Zn 0.756 0.649 0.134
Zn 0.756 0.649 0.366
Zn 0.806 0.520 0.750
Zn 0.825 0.175 0.641
Zn 0.825 0.175 0.859
Zn 0.982 0.355 0.069
Zn 0.982 0.355 0.431

Its space group is No. 63. Its crystal system is orthorhombic. For the energy of formation from the pure elements, the calculation gives -0.0342 eV/atom.

---

Record 5
VASP calculation (PBE-GGA) on a relaxed structure of Ba4PrNdCu6O14.

a b c (Å): 3.891 3.953 23.834
angles (deg): 90.00 90.00 90.00
Atoms (fractional coordinates):
Ba 0.000 0.000 0.160
Ba 0.000 0.000 0.339
Ba 0.000 0.000 0.661
Ba 0.000 0.000 0.840
Pr 0.000 0.000 0.500
Nd 0.000 0.000 0.000
Cu 0.500 0.500 0.077
Cu 0.500 0.500 0.250
Cu 0.500 0.500 0.423
Cu 0.500 0.500 0.577
Cu 0.500 0.500 0.750
Cu 0.500 0.500 0.923
O 0.000 0.500 0.064
O 0.000 0.500 0.435
O 0.000 0.500 0.565
O 0.000 0.500 0.936
O 0.500 0.000 0.064
O 0.500 0.000 0.250
O 0.500 0.000 0.435
O 0.500 0.000 0.565
O 0.500 0.000 0.750
O 0.500 0.000 0.936
O 0.500 0.500 0.171
O 0.500 0.500 0.328
O 0.500 0.500 0.672
O 0.500 0.500 0.829

Its space group is No. 47. Its crystal system is orthorhombic. The formation energy (no corrections) comes out at -1.77 eV/atom.

---

Record 6
VASP calculation (PBE-GGA) on a relaxed structure of Sc3Zn2Co7.

a b c (Å): 8.413 8.413 8.413
angles (deg): 33.89 33.89 33.89
Atoms (fractional coordinates):
Sc 0.000 0.000 0.000
Sc 0.140 0.140 0.140
Sc 0.860 0.860 0.860
Zn 0.334 0.334 0.334
Zn 0.666 0.666 0.666
Co 0.081 0.588 0.588
Co 0.412 0.412 0.919
Co 0.412 0.919 0.412
Co 0.500 0.500 0.500
Co 0.588 0.081 0.588
Co 0.588 0.588 0.081
Co 0.919 0.412 0.412

Its space group is No. 166. Its crystal system is trigonal. For the energy of formation from the pure elements, the calculation gives -0.2647 eV/atom.

---

Record 7
VASP calculation (PBE-GGA) on a relaxed structure of PrScTc4.

a b c (Å): 5.394 5.394 5.394
angles (deg): 60.00 60.00 60.00
Atoms (fractional coordinates):
Pr 0.000 0.000 0.000
Sc 0.750 0.750 0.750
Tc 0.375 0.375 0.375
Tc 0.375 0.375 0.874
Tc 0.375 0.874 0.375
Tc 0.874 0.375 0.375

Its space group is No. 216. Its crystal system is cubic. For the energy of formation from the pure elements, the calculation gives -0.0301 eV/atom.

---

Record 8
VASP calculation (PBE-GGA) on a relaxed structure of DyY2UO8.

a b c (Å): 3.867 5.337 7.542
angles (deg): 90.00 90.00 90.00
Atoms (fractional coordinates):
Dy 0.000 0.000 0.000
Y 0.500 0.500 0.250
Y 0.500 0.500 0.750
U 0.000 0.000 0.500
O 0.000 0.240 0.272
O 0.000 0.240 0.728
O 0.000 0.760 0.272
O 0.000 0.760 0.728
O 0.500 0.231 0.500
O 0.500 0.250 0.000
O 0.500 0.750 0.000
O 0.500 0.769 0.500

Its space group is No. 47. Its crystal system is orthorhombic. The formation energy (no corrections) comes out at -3.26 eV/atom.

---

Record 9
VASP calculation (PBE-GGA) on a relaxed structure of TlRh2W.

a b c (Å): 4.791 4.791 2.898
angles (deg): 90.00 90.00 90.00
Atoms (fractional coordinates):
Tl 0.000 0.000 0.000
Rh 0.000 0.500 0.500
Rh 0.500 0.000 0.500
W 0.500 0.500 0.000

The energy above the most stable polymorph in this dataset comes out at 354 meV per atom. Its space group is No. 123. Its crystal system is tetragonal. For the energy of formation from the pure elements, the calculation gives 0.3394 eV/atom.

---

Record 10
VASP calculation (PBE-GGA) on a relaxed structure of Li3TmPt3.

a b c (Å): 6.343 6.343 6.343
angles (deg): 90.00 90.00 90.00
Atoms (fractional coordinates):
Li 0.000 0.250 0.500
Li 0.000 0.750 0.500
Li 0.250 0.500 0.000
Li 0.500 0.000 0.250
Li 0.500 0.000 0.750
Li 0.750 0.500 0.000
Tm 0.000 0.000 0.000
Tm 0.500 0.500 0.500
Pt 0.000 0.500 0.250
Pt 0.000 0.500 0.750
Pt 0.250 0.000 0.500
Pt 0.500 0.250 0.000
Pt 0.500 0.750 0.000
Pt 0.750 0.000 0.500

Its space group is No. 223. Its crystal system is cubic. For the energy of formation from the pure elements, the calculation gives 0.0468 eV/atom.

---

Record 11
VASP calculation (PBE-GGA) on a relaxed structure of CrHg2As.

a b c (Å): 7.575 7.575 3.738
angles (deg): 104.18 104.18 25.43
Atoms (fractional coordinates):
Cr 0.000 0.000 0.000
Hg 0.317 0.317 0.817
Hg 0.683 0.683 0.183
As 0.500 0.500 0.500

Its space group is No. 12. Its crystal system is monoclinic. For the energy of formation from the pure elements, the calculation gives 0.1722 eV/atom.

---

Record 12
VASP calculation (PBE-GGA) on a relaxed structure of BaAc2Al.

a b c (Å): 5.415 5.415 5.197
angles (deg): 90.00 90.00 90.00
Atoms (fractional coordinates):
Ba 0.000 0.000 0.000
Ac 0.000 0.500 0.500
Ac 0.500 0.000 0.500
Al 0.500 0.500 0.000

The energy above the most stable polymorph in this dataset comes out at 129 meV per atom. Its space group is No. 123. Its crystal system is tetragonal. For the energy of formation from the pure elements, the calculation gives 0.0660 eV/atom.

---

Record 13
VASP calculation (PBE-GGA) on a relaxed structure of CeTlIn2Cl8.

a b c (Å): 6.534 9.047 6.793
angles (deg): 90.00 90.22 90.00
Atoms (fractional coordinates):
Ce 0.000 0.000 0.000
Tl 0.000 0.500 0.000
In 0.500 0.257 0.500
In 0.500 0.743 0.500
Cl 0.225 0.214 0.171
Cl 0.225 0.786 0.171
Cl 0.265 0.000 0.690
Cl 0.299 0.500 0.638
Cl 0.701 0.500 0.362
Cl 0.735 0.000 0.310
Cl 0.775 0.214 0.829
Cl 0.775 0.786 0.829

Its space group is No. 10. Its crystal system is monoclinic. The formation energy (no corrections) comes out at -1.33 eV/atom.

---

Record 14
VASP calculation (PBE-GGA) on a relaxed structure of SrIn2Se.

a b c (Å): 9.282 9.282 9.282
angles (deg): 24.94 24.94 24.94
Atoms (fractional coordinates):
Sr 0.000 0.000 0.000
In 0.235 0.235 0.235
In 0.765 0.765 0.765
Se 0.500 0.500 0.500

Its space group is No. 166. Its crystal system is trigonal. The formation energy (no corrections) comes out at -0.33 eV/atom.

---

Record 15
VASP calculation (PBE-GGA) on a relaxed structure of SrCoH6.

a b c (Å): 4.347 4.347 4.347
angles (deg): 68.29 68.29 68.29
Atoms (fractional coordinates):
Sr 0.000 0.000 0.000
Co 0.500 0.500 0.500
H 0.105 0.601 0.601
H 0.399 0.399 0.895
H 0.399 0.895 0.399
H 0.601 0.105 0.601
H 0.601 0.601 0.105
H 0.895 0.399 0.399

Its space group is No. 166. Its crystal system is trigonal.

---

Number 1: DFT total energy -3.585 eV/atom. Number 2: DFT total energy -5.308 eV/atom. Number 3: DFT total energy -2.775 eV/atom. Number 4: DFT total energy -1.826 eV/atom. Number 5: DFT total energy -6.049 eV/atom. Number 6: DFT total energy -6.205 eV/atom. Number 7: DFT total energy -8.793 eV/atom. Number 8: DFT total energy -8.971 eV/atom. Number 9: DFT total energy -7.166 eV/atom. Number 10: DFT total energy -4.001 eV/atom. Number 11: DFT total energy -3.547 eV/atom. Number 12: DFT total energy -3.405 eV/atom. Number 13: DFT total energy -3.709 eV/atom. Number 14: DFT total energy -2.986 eV/atom. Number 15: DFT total energy -3.733 eV/atom.